# Ag2SbIr, relaxed, DFT PBE-GGA
# **Volume**: 19.18 Å³ per atom
# **Total magnetic moment**: 0.47 μB per formula unit
# **Uncorrected formation energy**: 496 meV/atom
data_Ag2SbIr
_chemical_formula_sum 'Ag4 Sb2 Ir2'
_cell_length_a 2.983
_cell_length_b 5.131
_cell_length_c 10.020
_cell_angle_alpha 90.00
_cell_angle_beta 90.00
_cell_angle_gamma 90.00
_space_group_name_H-M_alt 'C m m m'
_space_group_IT_number 65
_space_group_name_Hall '-C 2 2'
loop_
_atom_site_label
_atom_site_type_symbol
_atom_site_fract_x
_atom_site_fract_y
_atom_site_fract_z
Ag1 Ag 0.000 0.000 0.233
Sb1 Sb 0.000 0.500 0.500
Ir1 Ir 0.000 0.500 0.000